Entry 1:
# Sm2Ga3Pt9 | the Alexandria database | PBE | relaxed
data_Sm2Ga3Pt9
_symmetry_space_group_name_H-M 'P 1'
_symmetry_Int_Tables_number 1
_symmetry_space_group_name_Hall 'P 1'
_cell_length_a 7.804
_cell_length_b 7.804
_cell_length_c 10.280
_cell_angle_alpha 89.87
_cell_angle_beta 112.42
_cell_angle_gamma 120.05
loop_
_atom_site_label
_atom_site_type_symbol
_atom_site_fract_x
_atom_site_fract_y
_atom_site_fract_z
Pt1 Pt 0.881 0.020 0.071
Sm1 Sm 0.004 0.414 0.250
Pt2 Pt 0.450 0.811 0.429
Pt3 Pt 0.775 0.469 0.421
Ga1 Ga 0.500 0.000 0.000
Pt4 Pt 0.452 0.646 0.921
Ga2 Ga 0.181 0.360 0.999
Ga3 Ga 0.861 0.181 0.501
Sm2 Sm 0.664 0.754 0.250
Pt5 Pt 0.225 0.531 0.579
Pt6 Pt 0.672 0.708 0.753
Ga4 Ga 0.819 0.640 0.001
Pt7 Pt 0.215 0.698 0.075
Pt8 Pt 0.117 0.867 0.250
Pt9 Pt 0.883 0.133 0.750
Sm3 Sm 0.336 0.246 0.750
Ga5 Ga 0.500 0.500 0.500
Pt10 Pt 0.545 0.081 0.253
Pt11 Pt 0.785 0.302 0.925
Pt12 Pt 0.548 0.354 0.079
Pt13 Pt 0.877 0.860 0.575
Pt14 Pt 0.119 0.980 0.929
Pt15 Pt 0.123 0.140 0.425
Sm4 Sm 0.996 0.586 0.750
Pt16 Pt 0.328 0.292 0.247
Pt17 Pt 0.550 0.189 0.571
Ga6 Ga 0.139 0.819 0.499
Pt18 Pt 0.455 0.919 0.747
# **Volume**: 17.39 A^3/atom
# **Space group**: C2/c (15)
# **E_form**: -0.856 eV per atom
# **DFT total energy**: -169.73 eV/cell
# **Fermi-level density of states**: 5.518 states/eV/f.u.

***

Entry 2:
# SmGaPt3 | the Alexandria database | PBE | relaxed
data_SmGaPt3
_symmetry_space_group_name_H-M 'P 1'
_symmetry_Int_Tables_number 1
_symmetry_space_group_name_Hall 'P 1'
_cell_length_a 5.211
_cell_length_b 6.286
_cell_length_c 6.320
_cell_angle_alpha 90.00
_cell_angle_beta 90.00
_cell_angle_gamma 90.00
loop_
_atom_site_label
_atom_site_type_symbol
_atom_site_fract_x
_atom_site_fract_y
_atom_site_fract_z
Pt1 Pt 0.500 0.500 0.000
Pt2 Pt 0.000 0.149 0.150
Ga1 Ga 0.000 0.000 0.500
Ga2 Ga 0.000 0.500 0.000
Pt3 Pt 0.000 0.351 0.650
Sm1 Sm 0.500 0.000 0.000
Pt4 Pt 0.500 0.000 0.500
Pt5 Pt 0.000 0.649 0.350
Pt6 Pt 0.000 0.851 0.850
Sm2 Sm 0.500 0.500 0.500
# **Volume**: 20.70 A^3/atom
# **Space group**: Pbam (55)
# **E_form**: -0.609 eV per atom
# **DFT total energy**: -57.83 eV/cell
# **Fermi-level density of states**: 1.104 states/eV/f.u.
# **Energy above the most stable polymorph in this dataset**: 308 meV/atom

***

Entry 3:
# SmGaPt | the Alexandria database | PBE | relaxed
data_SmGaPt
_symmetry_space_group_name_H-M 'P 1'
_symmetry_Int_Tables_number 1
_symmetry_space_group_name_Hall 'P 1'
_cell_length_a 3.453
_cell_length_b 3.453
_cell_length_c 5.724
_cell_angle_alpha 107.55
_cell_angle_beta 107.55
_cell_angle_gamma 90.00
loop_
_atom_site_label
_atom_site_type_symbol
_atom_site_fract_x
_atom_site_fract_y
_atom_site_fract_z
Pt1 Pt 0.257 0.257 0.513
Ga1 Ga 0.646 0.646 0.293
Sm1 Sm 0.947 0.947 0.894
# **Volume**: 20.57 A^3/atom
# **Space group**: I4mm (107)
# **E_form**: -0.760 eV per atom
# **DFT total energy**: -16.07 eV/cell
# **Fermi-level density of states**: 2.440 states/eV/f.u.

***

Entry 4:
# Sm2Ga2Pt15 | the Alexandria database | PBE | relaxed
data_Sm2Ga2Pt15
_symmetry_space_group_name_H-M 'P 1'
_symmetry_Int_Tables_number 1
_symmetry_space_group_name_Hall 'P 1'
_cell_length_a 7.007
_cell_length_b 7.007
_cell_length_c 7.007
_cell_angle_alpha 83.45
_cell_angle_beta 83.45
_cell_angle_gamma 83.45
loop_
_atom_site_label
_atom_site_type_symbol
_atom_site_fract_x
_atom_site_fract_y
_atom_site_fract_z
Ga1 Ga 0.900 0.900 0.900
Pt1 Pt 0.000 0.322 0.678
Pt2 Pt 0.000 0.500 0.000
Pt3 Pt 0.322 0.000 0.678
Sm1 Sm 0.650 0.650 0.650
Pt4 Pt 0.678 0.322 0.000
Pt5 Pt 0.339 0.339 0.836
Pt6 Pt 0.164 0.661 0.661
Pt7 Pt 0.678 0.000 0.322
Pt8 Pt 0.661 0.164 0.661
Pt9 Pt 0.500 0.000 0.000
Ga2 Ga 0.100 0.100 0.100
Pt10 Pt 0.836 0.339 0.339
Pt11 Pt 0.339 0.836 0.339
Pt12 Pt 0.000 0.000 0.500
Pt13 Pt 0.661 0.661 0.164
Pt14 Pt 0.322 0.678 0.000
Pt15 Pt 0.000 0.678 0.322
Sm2 Sm 0.350 0.350 0.350
# **Volume**: 17.78 A^3/atom
# **Space group**: R-3m (166)
# **E_form**: -0.500 eV per atom
# **DFT total energy**: -115.60 eV/cell
# **Fermi-level density of states**: 13.612 states/eV/f.u.

***

Entry 5:
# Sm3GaPt3 | the Alexandria database | PBE | relaxed
data_Sm3GaPt3
_symmetry_space_group_name_H-M 'P 1'
_symmetry_Int_Tables_number 1
_symmetry_space_group_name_Hall 'P 1'
_cell_length_a 4.132
_cell_length_b 5.855
_cell_length_c 14.155
_cell_angle_alpha 84.96
_cell_angle_beta 81.61
_cell_angle_gamma 69.33
loop_
_atom_site_label
_atom_site_type_symbol
_atom_site_fract_x
_atom_site_fract_y
_atom_site_fract_z
Sm1 Sm 0.262 0.249 0.227
Sm2 Sm 0.479 0.658 0.384
Sm3 Sm 0.393 0.289 0.924
Sm4 Sm 0.607 0.711 0.076
Pt1 Pt 0.877 0.168 0.077
Pt2 Pt 0.123 0.832 0.923
Pt3 Pt 0.022 0.189 0.766
Ga1 Ga 0.231 0.935 0.603
Ga2 Ga 0.769 0.065 0.397
Pt4 Pt 0.137 0.273 0.454
Sm5 Sm 0.521 0.342 0.616
Sm6 Sm 0.738 0.751 0.773
Pt5 Pt 0.863 0.727 0.546
Pt6 Pt 0.978 0.811 0.234
# **Volume**: 22.63 A^3/atom
# **Space group**: C2/m (12)
# **E_form**: -1.091 eV per atom
# **DFT total energy**: -85.89 eV/cell
# **Fermi-level density of states**: 4.676 states/eV/f.u.

***

Entry 6:
# Sm2Ga5Pt3 | the Alexandria database | PBE | relaxed
data_Sm2Ga5Pt3
_symmetry_space_group_name_H-M 'P 1'
_symmetry_Int_Tables_number 1
_symmetry_space_group_name_Hall 'P 1'
_cell_length_a 5.824
_cell_length_b 8.669
_cell_length_c 8.669
_cell_angle_alpha 73.37
_cell_angle_beta 70.37
_cell_angle_gamma 70.37
loop_
_atom_site_label
_atom_site_type_symbol
_atom_site_fract_x
_atom_site_fract_y
_atom_site_fract_z
Pt1 Pt 0.357 0.539 0.747
Ga1 Ga 0.750 0.500 0.500
Pt2 Pt 0.750 0.000 0.000
Pt3 Pt 0.857 0.747 0.539
Ga2 Ga 0.400 0.263 0.936
Ga3 Ga 0.100 0.064 0.737
Ga4 Ga 0.900 0.936 0.263
Ga5 Ga 0.964 0.786 0.786
Sm1 Sm 0.363 0.863 0.411
Sm2 Sm 0.863 0.411 0.863
Pt4 Pt 0.250 0.000 0.000
Ga6 Ga 0.464 0.786 0.786
Ga7 Ga 0.600 0.737 0.064
Pt5 Pt 0.143 0.253 0.461
Sm3 Sm 0.137 0.589 0.137
Pt6 Pt 0.643 0.461 0.253
Ga8 Ga 0.536 0.214 0.214
Ga9 Ga 0.036 0.214 0.214
Ga10 Ga 0.250 0.500 0.500
Sm4 Sm 0.637 0.137 0.589
# **Volume**: 19.04 A^3/atom
# **Space group**: Ibam (72)
# **E_form**: -0.910 eV per atom
# **DFT total energy**: -103.59 eV/cell
# **Fermi-level density of states**: 4.836 states/eV/f.u.
# **Energy above the most stable polymorph in this dataset**: 0 meV/atom

***

Entry 7:
# SmGa2Pt | the Alexandria database | PBE | relaxed
data_SmGa2Pt
_symmetry_space_group_name_H-M 'P 1'
_symmetry_Int_Tables_number 1
_symmetry_space_group_name_Hall 'P 1'
_cell_length_a 5.674
_cell_length_b 6.759
_cell_length_c 8.219
_cell_angle_alpha 90.00
_cell_angle_beta 90.00
_cell_angle_gamma 90.00
loop_
_atom_site_label
_atom_site_type_symbol
_atom_site_fract_x
_atom_site_fract_y
_atom_site_fract_z
Ga1 Ga 0.619 0.446 0.682
Ga2 Ga 0.381 0.554 0.318
Sm1 Sm 0.128 0.250 0.544
Ga3 Ga 0.619 0.054 0.682
Pt1 Pt 0.863 0.250 0.904
Pt2 Pt 0.363 0.750 0.596
Ga4 Ga 0.881 0.054 0.182
Sm2 Sm 0.372 0.250 0.044
Ga5 Ga 0.381 0.946 0.318
Sm3 Sm 0.872 0.750 0.456
Ga6 Ga 0.881 0.446 0.182
Ga7 Ga 0.119 0.946 0.818
Ga8 Ga 0.119 0.554 0.818
Pt3 Pt 0.137 0.750 0.096
Sm4 Sm 0.628 0.750 0.956
Pt4 Pt 0.637 0.250 0.404
# **Volume**: 19.70 A^3/atom
# **Space group**: Pnma (62)
# **E_form**: -0.831 eV per atom
# **DFT total energy**: -80.55 eV/cell
# **Fermi-level density of states**: 2.232 states/eV/f.u.

***

Entry 8:
# SmGa2Pt8 | the Alexandria database | PBE | relaxed
data_SmGa2Pt8
_symmetry_space_group_name_H-M 'P 1'
_symmetry_Int_Tables_number 1
_symmetry_space_group_name_Hall 'P 1'
_cell_length_a 5.360
_cell_length_b 5.360
_cell_length_c 8.084
_cell_angle_alpha 90.00
_cell_angle_beta 90.00
_cell_angle_gamma 90.00
loop_
_atom_site_label
_atom_site_type_symbol
_atom_site_fract_x
_atom_site_fract_y
_atom_site_fract_z
Pt1 Pt 0.246 0.246 0.220
Pt2 Pt 0.246 0.754 0.780
Pt3 Pt 0.754 0.246 0.780
Pt4 Pt 0.754 0.754 0.780
Sm1 Sm 0.500 0.500 0.500
Pt5 Pt 0.754 0.754 0.220
Pt6 Pt 0.246 0.246 0.780
Pt7 Pt 0.754 0.246 0.220
Ga1 Ga 0.000 0.500 0.000
Pt8 Pt 0.246 0.754 0.220
Ga2 Ga 0.500 0.000 0.000
# **Volume**: 21.11 A^3/atom
# **Space group**: P4/mmm (123)
# **E_form**: -0.265 eV per atom
# **DFT total energy**: -62.02 eV/cell
# **Fermi-level density of states**: 6.875 states/eV/f.u.

***

Entry 9:
# SmGa3Pt5 | the Alexandria database | PBE | relaxed
data_SmGa3Pt5
_symmetry_space_group_name_H-M 'P 1'
_symmetry_Int_Tables_number 1
_symmetry_space_group_name_Hall 'P 1'
_cell_length_a 3.901
_cell_length_b 6.886
_cell_length_c 13.125
_cell_angle_alpha 90.00
_cell_angle_beta 90.00
_cell_angle_gamma 106.46
loop_
_atom_site_label
_atom_site_type_symbol
_atom_site_fract_x
_atom_site_fract_y
_atom_site_fract_z
Pt1 Pt 0.199 0.398 0.575
Ga1 Ga 0.622 0.244 0.037
Pt2 Pt 0.801 0.602 0.075
Pt3 Pt 0.461 0.923 0.352
Pt4 Pt 0.539 0.077 0.852
Ga2 Ga 0.129 0.258 0.750
Ga3 Ga 0.871 0.742 0.250
Pt5 Pt 0.539 0.077 0.648
Pt6 Pt 0.461 0.923 0.148
Pt7 Pt 0.000 0.000 0.000
Sm1 Sm 0.115 0.230 0.250
Ga4 Ga 0.622 0.244 0.463
Ga5 Ga 0.378 0.756 0.963
Sm2 Sm 0.885 0.770 0.750
Ga6 Ga 0.378 0.756 0.537
Pt8 Pt 0.199 0.398 0.925
Pt9 Pt 0.801 0.602 0.425
Pt10 Pt 0.000 0.000 0.500
# **Volume**: 18.78 A^3/atom
# **Space group**: Cmcm (63)
# **E_form**: -0.703 eV per atom
# **DFT total energy**: -100.67 eV/cell
# **Fermi-level density of states**: 3.447 states/eV/f.u.

***

Entry 10:
# Sm4GaPt | the Alexandria database | PBE | relaxed
data_Sm4GaPt
_symmetry_space_group_name_H-M 'P 1'
_symmetry_Int_Tables_number 1
_symmetry_space_group_name_Hall 'P 1'
_cell_length_a 5.344
_cell_length_b 6.345
_cell_length_c 10.919
_cell_angle_alpha 90.00
_cell_angle_beta 104.16
_cell_angle_gamma 90.00
loop_
_atom_site_label
_atom_site_type_symbol
_atom_site_fract_x
_atom_site_fract_y
_atom_site_fract_z
Sm1 Sm 0.691 0.074 0.383
Pt1 Pt 0.423 0.338 0.846
Sm2 Sm 0.555 0.346 0.110
Sm3 Sm 0.889 0.299 0.778
Ga1 Ga 0.840 0.819 0.681
Sm4 Sm 0.711 0.558 0.422
Sm5 Sm 0.309 0.574 0.617
Sm6 Sm 0.111 0.799 0.222
Sm7 Sm 0.289 0.058 0.578
Pt2 Pt 0.577 0.838 0.154
Ga2 Ga 0.160 0.319 0.319
Sm8 Sm 0.445 0.846 0.890
# **Volume**: 29.91 A^3/atom
# **Space group**: Cmc2_1 (36)
# **E_form**: -0.450 eV per atom
# **DFT total energy**: -61.29 eV/cell
# **Fermi-level density of states**: 6.884 states/eV/f.u.
# **Energy above the most stable polymorph in this dataset**: 155 meV/atom

***

Entry 11:
# Sm2GaPt | the Alexandria database | PBE | relaxed
data_Sm2GaPt
_symmetry_space_group_name_H-M 'P 1'
_symmetry_Int_Tables_number 1
_symmetry_space_group_name_Hall 'P 1'
_cell_length_a 3.979
_cell_length_b 3.979
_cell_length_c 8.134
_cell_angle_alpha 75.84
_cell_angle_beta 75.84
_cell_angle_gamma 60.00
loop_
_atom_site_label
_atom_site_type_symbol
_atom_site_fract_x
_atom_site_fract_y
_atom_site_fract_z
Pt1 Pt 0.500 0.500 0.500
Sm1 Sm 0.242 0.242 0.273
Sm2 Sm 0.758 0.758 0.727
Ga1 Ga 0.000 0.000 0.000
# **Volume**: 26.75 A^3/atom
# **Space group**: R-3m (166)
# **E_form**: -0.689 eV per atom
# **DFT total energy**: -21.26 eV/cell
# **Fermi-level density of states**: 4.139 states/eV/f.u.

***

Entry 12:
# Sm3GaPt | the Alexandria database | PBE | relaxed
data_Sm3GaPt
_symmetry_space_group_name_H-M 'P 1'
_symmetry_Int_Tables_number 1
_symmetry_space_group_name_Hall 'P 1'
_cell_length_a 4.483
_cell_length_b 6.417
_cell_length_c 10.430
_cell_angle_alpha 90.00
_cell_angle_beta 90.00
_cell_angle_gamma 110.44
loop_
_atom_site_label
_atom_site_type_symbol
_atom_site_fract_x
_atom_site_fract_y
_atom_site_fract_z
Sm1 Sm 0.646 0.293 0.060
Ga1 Ga 0.234 0.468 0.250
Sm2 Sm 0.354 0.707 0.940
Pt1 Pt 0.000 0.000 0.000
Sm3 Sm 0.089 0.179 0.750
Pt2 Pt 0.000 0.000 0.500
Ga2 Ga 0.766 0.532 0.750
Sm4 Sm 0.911 0.821 0.250
Sm5 Sm 0.354 0.707 0.560
Sm6 Sm 0.646 0.293 0.440
# **Volume**: 28.12 A^3/atom
# **Space group**: Cmcm (63)
# **E_form**: -0.651 eV per atom
# **DFT total energy**: -52.96 eV/cell
# **Fermi-level density of states**: 5.024 states/eV/f.u.